Entry 1:
Entry from Alexandria via LeMat-Bulk: crystalline Cu2TeCl at its relaxed geometry (PBE).

a = 7.9009 Å, b = 7.9009 Å, c = 7.9009 Å
α = 153.67°, β = 153.67°, γ = 37.58°
Closest atoms and distances in Å follow each position.
Fractional coordinates of all 4 atoms:
Cu 0.0000 0.0000 0.0000  4 Cl 2.54
Cu 0.7500 0.2500 0.5000  4 Te 2.54
Te 0.2500 0.7500 0.5000  4 Cu 2.54
Cl 0.5000 0.5000 0.0000  4 Cu 2.54

Properties
As for the uncorrected formation energy: 0.44 eV per formula unit. Its theoretical density is 4.97 g/cm3. The space group is I-4m2. The value obtained for the total energy is -0.234 Ry per atom.

***

Entry 2:
Entry from Alexandria via LeMat-Bulk: crystalline Tl2CoMo at its relaxed geometry (PBE).

a = 4.5833 Å, b = 4.5833 Å, c = 3.4622 Å
α = 90.00°, β = 90.00°, γ = 90.00°
Closest atoms and distances in Å follow each position.
Fractional coordinates of all 4 atoms:
Tl 0.0000 0.5000 0.0000  4 Mo 2.87, 4 Co 2.87
Tl 0.5000 0.0000 0.0000  4 Mo 2.87, 4 Co 2.87
Co 0.0000 0.0000 0.5000  8 Tl 2.87
Mo 0.5000 0.5000 0.5000  8 Tl 2.87

Properties
Its formation energy is 3.22 eV/f.u. Its theoretical density is 12.87 g/cm3. The space group is P4/mmm. The value obtained for the total energy is -0.357 Ry per atom.

***

Entry 3:
Entry from Alexandria via LeMat-Bulk: crystalline ZrAl6Cu6 at its relaxed geometry (PBE).

a = 6.5394 Å, b = 6.5394 Å, c = 6.5394 Å
α = 134.13°, β = 99.37°, γ = 98.11°
Closest atoms and distances in Å follow each position.
Fractional coordinates of all 13 atoms:
Zr 0.0000 0.0000 0.0000  8 Al 2.91-2.99, 4 Cu 3.25
Al 0.1820 0.6820 0.5000  6 Cu 2.54-2.55
Al 0.3430 0.3430 0.0000  6 Cu 2.60, 3 Al 2.69-2.90
Al 0.3436 0.0000 0.3436  6 Cu 2.62-2.70, 1 Al 2.65, 1 Zr 2.91
Al 0.6564 0.0000 0.6564  6 Cu 2.62-2.70, 1 Al 2.65, 1 Zr 2.91
Al 0.6570 0.6570 0.0000  6 Cu 2.60, 3 Al 2.69-2.90
Al 0.8180 0.3180 0.5000  6 Cu 2.54-2.55
Cu 0.0000 0.0000 0.5000  4 Cu 2.50-2.55, 6 Al 2.54-2.62
Cu 0.0000 0.5000 0.0000  4 Cu 2.50-2.55, 6 Al 2.54-2.62
Cu 0.2377 0.5000 0.7377  4 Cu 2.50, 6 Al 2.55-2.70
Cu 0.5000 0.0000 0.0000  4 Cu 2.50-2.55, 6 Al 2.54-2.62
Cu 0.5000 0.5000 0.5000  4 Cu 2.50-2.55, 6 Al 2.54-2.62
Cu 0.7623 0.5000 0.2623  4 Cu 2.50, 6 Al 2.55-2.70

Properties
Its formation energy is -4.45 eV/f.u. Its theoretical density is 5.70 g/cm3. The space group is Immm. The value obtained for the total energy is -0.339 Ry per atom.

***

Entry 4:
Entry from Alexandria via LeMat-Bulk: crystalline HgGeBi at its relaxed geometry (PBE).

a = 3.2091 Å, b = 6.4963 Å, c = 8.6436 Å
α = 111.95°, β = 90.64°, γ = 97.44°
Closest atoms and distances in Å follow each position.
Fractional coordinates of all 6 atoms:
Hg 0.0000 0.0000 0.0000  2 Ge 2.81-3.09
Hg 0.4744 0.4621 0.8248  1 Ge 2.78
Ge 0.3919 0.4993 0.1532  2 Ge 2.69-2.70, 1 Hg 2.78
Ge 0.9893 0.8619 0.2712  2 Ge 2.69-2.70, 1 Hg 2.81, 1 Bi 2.97
Bi 0.6080 0.3852 0.4495  1 Ge 3.02, 1 Hg 3.14, 3 Bi 3.16-3.21
Bi 0.8323 0.9117 0.6200  1 Ge 2.97, 1 Hg 3.14, 3 Bi 3.16-3.21

Properties
Its formation energy is 0.47 eV/f.u. Its theoretical density is 9.68 g/cm3. The space group is P1. The value obtained for the total energy is -0.204 Ry per atom.

***

Entry 5:
Entry from Alexandria via LeMat-Bulk: crystalline Cu2Br6Cl at its relaxed geometry (PBE).

a = 9.6593 Å, b = 9.6593 Å, c = 9.7429 Å
α = 94.61°, β = 94.61°, γ = 128.15°
Closest atoms and distances in Å follow each position.
Fractional coordinates of all 18 atoms:
Cu 0.0383 0.7598 0.8469  1 Cl 2.22, 1 Br 2.29
Cu 0.2402 0.9617 0.6531  1 Cl 2.22, 1 Br 2.29
Cu 0.7598 0.0383 0.3469  1 Cl 2.22, 1 Br 2.29
Cu 0.9617 0.2402 0.1531  1 Cl 2.22, 1 Br 2.29
Br 0.0416 0.6282 0.6080  2 Cu 2.50-2.57, 1 Br 2.76
Br 0.1111 0.4484 0.0109  1 Cu 2.29
Br 0.3718 0.9584 0.8920  2 Cu 2.50-2.57, 1 Br 2.76
Br 0.4398 0.4914 0.8669  2 Br 2.45-2.71
Br 0.4484 0.1111 0.5109  1 Cu 2.29
Br 0.4914 0.4398 0.3669  2 Br 2.45-2.71
Br 0.5086 0.5602 0.6331  2 Br 2.45-2.71
Br 0.5516 0.8889 0.4891  1 Cu 2.29
Br 0.5602 0.5086 0.1331  2 Br 2.45-2.71
Br 0.6282 0.0416 0.1080  2 Cu 2.50-2.57, 1 Br 2.76
Br 0.8889 0.5516 0.9891  1 Cu 2.29
Br 0.9584 0.3718 0.3920  2 Cu 2.50-2.57, 1 Br 2.76
Cl 0.0391 0.9609 0.7500  2 Cu 2.22
Cl 0.9609 0.0391 0.2500  2 Cu 2.22

Properties
As for the uncorrected formation energy: -1.06 eV per formula unit. Its theoretical density is 3.03 g/cm3. The space group is C2/c. The value obtained for the total energy is -0.173 Ry per atom.

***

Entry 6:
Entry from Alexandria via LeMat-Bulk: crystalline Ca2C at its relaxed geometry (PBE).

a = 6.9523 Å, b = 6.9523 Å, c = 6.9523 Å
α = 153.36°, β = 153.36°, γ = 38.03°
Closest atoms and distances in Å follow each position.
Fractional coordinates of all 3 atoms:
Ca 0.1081 0.1081 0.0000  4 C 2.67, 1 Ca 2.84
Ca 0.8919 0.8919 0.0000  4 C 2.67, 1 Ca 2.84
C 0.5000 0.5000 0.0000  8 Ca 2.67

Properties
Its formation energy is 1.62 eV/f.u. Its theoretical density is 2.27 g/cm3. The space group is I4/mmm. The value obtained for the total energy is -0.284 Ry per atom.

***

Entry 7:
Entry from Alexandria via LeMat-Bulk: crystalline PrThCoPd at its relaxed geometry (PBE).

a = 5.0390 Å, b = 5.0390 Å, c = 5.0390 Å
α = 60.00°, β = 60.00°, γ = 60.00°
Closest atoms and distances in Å follow each position.
Fractional coordinates of all 4 atoms:
Pr 0.0000 0.0000 0.0000  4 Pd 3.09, 4 Co 3.09
Th 0.5000 0.5000 0.5000  4 Co 3.09, 4 Pd 3.09
Co 0.2500 0.2500 0.2500  4 Th 3.09, 4 Pr 3.09
Pd 0.7500 0.7500 0.7500  4 Th 3.09, 4 Pr 3.09

Properties
Its formation energy is -1.19 eV/f.u. Its theoretical density is 9.88 g/cm3. The space group is F-43m. The value obtained for the total energy is -0.472 Ry per atom.

***

Entry 8:
Entry from Alexandria via LeMat-Bulk: crystalline PuTl2O2F2 at its relaxed geometry (PBE).

a = 7.9900 Å, b = 7.9900 Å, c = 7.9900 Å
α = 148.40°, β = 148.40°, γ = 45.29°
Closest atoms and distances in Å follow each position.
Fractional coordinates of all 7 atoms:
Pu 0.0000 0.0000 0.0000  4 O 2.18, 2 F 2.30
Tl 0.3547 0.3547 0.0000  5 F 2.93-3.08, 4 O 3.05
Tl 0.6453 0.6453 0.0000  5 F 2.93-3.08, 4 O 3.05
O 0.0000 0.5000 0.5000  2 Pu 2.18
O 0.5000 0.0000 0.5000  2 Pu 2.18
F 0.1557 0.1557 0.0000  1 Pu 2.30
F 0.8443 0.8443 0.0000  1 Pu 2.30

Properties
As for the uncorrected formation energy: -15.82 eV per formula unit. Its theoretical density is 8.60 g/cm3. The space group is I4/mmm. The value obtained for the total energy is -0.510 Ry per atom.

***

Going through the records in order, we get Fermi-level density of states values of 3.6; 5.8; 4.5; 1.9; 8.0; 2.1; 5.6; 3.7 states/eV per cell.